# 1
AlInHg2 | GGA-PBE | relaxed

a b c (Å): 5.147 5.147 5.147
angles (deg): 60.00 60.00 60.00
Atoms (fractional coordinates):
Hg: 0.250 0.250 0.250
In: 0.500 0.500 0.500
Hg: 0.750 0.750 0.750
Al: 0.000 0.000 0.000

The calculation puts the size of the total moment at 0.00 μB/atom. Its relative energy among the computed polymorphs is 80 meV per atom. The space group is No. 225. The energy of formation from the pure elements comes out at 0.15 eV per atom.

=====

# 2
Al2InHg | GGA-PBE | relaxed

a b c (Å): 5.031 3.374 5.222
angles (deg): 87.62 90.00 90.00
Atoms (fractional coordinates):
In: 0.500 0.750 0.750
Al: 0.000 0.079 0.000
Hg: 0.500 0.250 0.250
Al: 0.000 0.421 0.500

The calculation puts the size of the total moment at 0.00 μB/atom. The space group is No. 10. The energy of formation from the pure elements comes out at 0.21 eV per atom.

=====

# 3
AlInHg | GGA-PBE | relaxed

a b c (Å): 5.843 5.843 5.843
angles (deg): 147.69 139.14 53.02
Atoms (fractional coordinates):
Al: 0.990 0.990 0.000
Hg: 0.348 0.348 0.000
In: 0.661 0.661 0.000

The calculation puts the size of the total moment at 0.00 μB/atom. The space group is No. 44. The energy of formation from the pure elements comes out at 0.17 eV per atom.

=====

# 4
AlIn3Hg | GGA-PBE | relaxed

a b c (Å): 5.393 5.393 5.393
angles (deg): 90.00 90.00 90.00
Atoms (fractional coordinates):
Al: 0.000 0.000 0.000
Hg: 0.500 0.500 0.500
In: 0.000 0.000 0.500
In: 0.000 0.500 0.000
In: 0.500 0.000 0.000

The calculation puts the size of the total moment at 0.00 μB/atom. Its relative energy among the computed polymorphs is 0 meV per atom. The space group is No. 221. The energy of formation from the pure elements comes out at 0.28 eV per atom.

=====

# 5
AlInHg | GGA-PBE | relaxed

a b c (Å): 3.377 5.935 8.597
angles (deg): 122.19 101.89 90.05
Atoms (fractional coordinates):
Hg: 0.895 0.868 0.348
Al: 0.562 0.117 0.668
In: 0.524 0.535 0.579
Hg: 0.841 0.264 0.203
Al: 0.175 0.015 0.883
In: 0.213 0.596 0.972

The calculation puts the size of the total moment at 0.00 μB/atom. The space group is No. 2. The energy of formation from the pure elements comes out at 0.09 eV per atom.

=====

# 6
AlInHg2 | GGA-PBE | relaxed

a b c (Å): 5.476 5.839 3.645
angles (deg): 74.66 84.19 115.93
Atoms (fractional coordinates):
In: 0.000 0.500 0.500
Al: 0.500 0.500 0.000
Hg: 0.000 0.000 0.000
Hg: 0.500 0.000 0.500

The calculation puts the size of the total moment at 0.00 μB/atom. Its relative energy among the computed polymorphs is 75 meV per atom. The space group is No. 12. The energy of formation from the pure elements comes out at 0.15 eV per atom.

=====

# 7
AlIn2Hg | GGA-PBE | relaxed

a b c (Å): 3.419 3.419 8.257
angles (deg): 90.00 90.00 90.00
Atoms (fractional coordinates):
Hg: 0.500 0.500 0.750
Al: 0.500 0.500 0.250
In: 0.000 0.000 0.477
In: 0.000 0.000 0.023

The calculation puts the size of the total moment at 0.00 μB/atom. Its relative energy among the computed polymorphs is 15 meV per atom. The space group is No. 123. The energy of formation from the pure elements comes out at 0.11 eV per atom.

=====

# 8
Al2In2Hg | GGA-PBE | relaxed

a b c (Å): 8.378 8.378 3.425
angles (deg): 90.00 90.00 90.00
Atoms (fractional coordinates):
Al: 0.116 0.616 0.500
Hg: 0.000 0.000 0.000
In: 0.180 0.320 0.000
In: 0.820 0.680 0.000
Al: 0.384 0.116 0.500
Hg: 0.500 0.500 0.000
Al: 0.616 0.884 0.500
In: 0.680 0.180 0.000
In: 0.320 0.820 0.000
Al: 0.884 0.384 0.500

The calculation puts the size of the total moment at 0.00 μB/atom. Its relative energy among the computed polymorphs is 60 meV per atom. The space group is No. 127. The energy of formation from the pure elements comes out at 0.19 eV per atom.

=====

# 9
AlInHg | GGA-PBE | relaxed

a b c (Å): 7.703 5.033 7.428
angles (deg): 90.00 90.00 90.00
Atoms (fractional coordinates):
Al: 0.934 0.250 0.547
Hg: 0.440 0.750 0.391
In: 0.220 0.250 0.282
In: 0.780 0.750 0.718
Al: 0.434 0.250 0.953
Al: 0.566 0.750 0.047
Hg: 0.940 0.750 0.109
Hg: 0.560 0.250 0.609
In: 0.280 0.750 0.782
In: 0.720 0.250 0.218
Hg: 0.060 0.250 0.891
Al: 0.066 0.750 0.453

The calculation puts the size of the total moment at 0.00 μB/atom. The space group is No. 62. The energy of formation from the pure elements comes out at 0.11 eV per atom.

=====

# 10
AlIn2Hg | GGA-PBE | relaxed

a b c (Å): 5.803 5.803 5.547
angles (deg): 71.42 71.42 33.25
Atoms (fractional coordinates):
Al: 0.516 0.516 0.547
In: 0.775 0.775 0.691
Hg: 0.222 0.222 0.230
In: 0.988 0.988 0.032

The calculation puts the size of the total moment at 0.00 μB/atom. Its relative energy among the computed polymorphs is 12 meV per atom. The space group is No. 8. The energy of formation from the pure elements comes out at 0.11 eV per atom.

=====

# 11
AlIn2Hg | GGA-PBE | relaxed

a b c (Å): 3.232 3.232 9.353
angles (deg): 90.00 90.00 95.58
Atoms (fractional coordinates):
In: 0.000 0.000 0.018
Hg: 0.500 0.500 0.750
In: 0.000 0.000 0.482
Al: 0.500 0.500 0.250

The calculation puts the size of the total moment at 0.00 μB/atom. Its relative energy among the computed polymorphs is 16 meV per atom. The space group is No. 65. The energy of formation from the pure elements comes out at 0.11 eV per atom.

=====

# 12
Al2InHg | GGA-PBE | relaxed

a b c (Å): 4.329 4.329 6.222
angles (deg): 69.64 69.64 60.00
Atoms (fractional coordinates):
Al: 0.078 0.078 0.765
Hg: 0.671 0.671 0.987
In: 0.494 0.494 0.518
Al: 0.257 0.257 0.230

The calculation puts the size of the total moment at 0.00 μB/atom. The space group is No. 160. The energy of formation from the pure elements comes out at 0.20 eV per atom.

=====

# 13
AlInHg | GGA-PBE | relaxed

a b c (Å): 3.549 3.549 6.365
angles (deg): 90.00 90.00 120.00
Atoms (fractional coordinates):
Al: 0.000 0.000 0.011
Hg: 0.667 0.333 0.313
In: 0.333 0.667 0.677

The calculation puts the size of the total moment at 0.00 μB/atom. The space group is No. 156. The energy of formation from the pure elements comes out at 0.13 eV per atom.

=====

# 14
AlInHg2 | GGA-PBE | relaxed

a b c (Å): 4.147 4.147 7.218
angles (deg): 73.31 73.31 60.00
Atoms (fractional coordinates):
Hg: 0.261 0.261 0.218
In: 0.499 0.499 0.503
Hg: 0.073 0.073 0.780
Al: 0.667 0.667 0.999

The calculation puts the size of the total moment at 0.00 μB/atom. Its relative energy among the computed polymorphs is 42 meV per atom. The space group is No. 160. The energy of formation from the pure elements comes out at 0.12 eV per atom.

=====

# 15
AlInHg | GGA-PBE | relaxed

a b c (Å): 4.602 4.602 3.945
angles (deg): 90.00 90.00 120.00
Atoms (fractional coordinates):
In: 0.333 0.667 0.672
Hg: 0.667 0.333 0.258
Al: 0.000 0.000 0.070

The calculation puts the size of the total moment at 0.00 μB/atom. The space group is No. 156. The energy of formation from the pure elements comes out at 0.15 eV per atom.

=====

# 16
AlInHg2 | GGA-PBE | relaxed

a b c (Å): 4.277 4.696 4.696
angles (deg): 90.00 90.00 90.00
Atoms (fractional coordinates):
Hg: 0.000 0.000 0.000
In: 0.500 0.500 0.000
Hg: 0.000 0.500 0.500
Al: 0.500 0.000 0.500

The calculation puts the size of the total moment at 0.00 μB/atom. Its relative energy among the computed polymorphs is 69 meV per atom. The space group is No. 123. The energy of formation from the pure elements comes out at 0.14 eV per atom.

=====

# 17
AlIn2Hg | GGA-PBE | relaxed

a b c (Å): 3.398 4.374 6.506
angles (deg): 90.00 90.00 90.00
Atoms (fractional coordinates):
In: 0.000 0.000 0.993
Al: 0.000 0.000 0.509
Hg: 0.500 0.500 0.734
In: 0.500 0.500 0.264

The calculation puts the size of the total moment at 0.00 μB/atom. Its relative energy among the computed polymorphs is 44 meV per atom. The space group is No. 25. The energy of formation from the pure elements comes out at 0.14 eV per atom.

=====

# 18
AlInHg2 | GGA-PBE | relaxed

a b c (Å): 4.711 3.719 5.704
angles (deg): 77.75 90.00 90.00
Atoms (fractional coordinates):
In: 0.500 0.250 0.250
Al: 0.500 0.750 0.750
Hg: 0.000 0.561 0.517
Hg: 0.000 0.939 0.983

The calculation puts the size of the total moment at 0.00 μB/atom. Its relative energy among the computed polymorphs is 47 meV per atom. The space group is No. 10. The energy of formation from the pure elements comes out at 0.12 eV per atom.

=====

# 19
AlInHg | GGA-PBE | relaxed

a b c (Å): 3.739 3.739 10.013
angles (deg): 90.00 90.00 90.00
Atoms (fractional coordinates):
Al: 0.000 0.500 0.939
Hg: 0.500 0.000 0.408
In: 0.000 0.500 0.232
Al: 0.500 0.000 0.061
In: 0.500 0.000 0.768
Hg: 0.000 0.500 0.592

The calculation puts the size of the total moment at 0.00 μB/atom. The space group is No. 129. The energy of formation from the pure elements comes out at 0.14 eV per atom.

=====

# 20
AlInHg | GGA-PBE | relaxed

a b c (Å): 9.130 4.841 6.701
angles (deg): 90.00 90.00 90.00
Atoms (fractional coordinates):
Hg: 0.639 0.750 0.000
Hg: 0.861 0.250 0.500
Al: 0.383 0.750 0.228
In: 0.378 0.250 0.483
Hg: 0.139 0.750 0.500
Al: 0.617 0.250 0.772
In: 0.878 0.250 0.017
Al: 0.883 0.750 0.272
Al: 0.117 0.250 0.728
In: 0.122 0.750 0.983
In: 0.622 0.750 0.517
Hg: 0.361 0.250 0.000

The calculation puts the size of the total moment at 0.00 μB/atom. The space group is No. 62. The energy of formation from the pure elements comes out at 0.11 eV per atom.